# SCAN In5Hg3, PBEsol geometry
data_In5Hg3
_chemical_formula_sum 'In20 Hg12'
_cell_length_a 11.484
_cell_length_b 11.484
_cell_length_c 6.014
_cell_angle_alpha 90.00
_cell_angle_beta 90.00
_cell_angle_gamma 90.00
_space_group_name_H-M_alt 'I 4/m c m'
_space_group_IT_number 140
_space_group_name_Hall '-I 4 2c'
loop_
_atom_site_label
_atom_site_fract_x
_atom_site_fract_y
_atom_site_fract_z
In1 0.000 0.500 0.250
In2 0.072 0.228 0.000
Hg1 0.000 0.000 0.250
Hg2 0.172 0.328 0.500
# Crystal system: tetragonal
# Energy of formation from the pure elements: 0.05 eV per atom

# SCAN MnCo4W, PBEsol geometry
data_MnCo4W
_chemical_formula_sum 'Mn4 Co16 W4'
_cell_length_a 6.467
_cell_length_b 6.467
_cell_length_c 6.467
_cell_angle_alpha 90.00
_cell_angle_beta 90.00
_cell_angle_gamma 90.00
_space_group_name_H-M_alt 'F -4 3 m'
_space_group_IT_number 216
_space_group_name_Hall 'F -4 2 3'
loop_
_atom_site_label
_atom_site_fract_x
_atom_site_fract_y
_atom_site_fract_z
Mn1 0.000 0.000 0.000
Co1 0.126 0.126 0.626
W1 0.250 0.250 0.250
# Crystal system: cubic
# Energy of formation from the pure elements: 0.06 eV per atom

Look up the energy of formation from the pure elements of the second one. 0.06 eV per atom

What is the formula in the first record? In5Hg3